No. 1
A plane-wave DFT calculation with GGA-PBE was carried out for a relaxed structure of Ca2Al4GaPd3.

abc: 4.206 4.206 10.944
angles: 90.00 90.00 90.00
Element x y z (fractional)
Ca  0.000  0.500  0.250
Ca  0.500  0.000  0.750
Al  0.000  0.000  0.000
Al  0.000  0.500  0.638
Al  0.500  0.000  0.362
Al  0.500  0.500  0.000
Ga  0.000  0.000  0.500
Pd  0.000  0.500  0.868
Pd  0.500  0.000  0.132
Pd  0.500  0.500  0.500

Results
* calculated total energy: -4.437 eV/atom
* crystal system: tetragonal
* energy of formation: -679 meV per atom
* space group: No. 115

No. 2
A plane-wave DFT calculation with GGA-PBE was carried out for a relaxed structure of ZrSb2Rh2.

abc: 7.798 7.798 3.130
angles: 90.00 90.00 90.00
Element x y z (fractional)
Zr  0.000  0.000  0.000
Zr  0.500  0.500  0.000
Sb  0.151  0.349  0.000
Sb  0.349  0.849  0.000
Sb  0.651  0.151  0.000
Sb  0.849  0.651  0.000
Rh  0.144  0.644  0.500
Rh  0.356  0.144  0.500
Rh  0.644  0.856  0.500
Rh  0.856  0.356  0.500

Results
* calculated total energy: -6.648 eV/atom
* energy relative to the lowest polymorph listed for this composition: 29 meV per atom
* crystal system: tetragonal
* formation energy (no corrections): -0.35 eV/atom
* space group: No. 127

No. 3
A plane-wave DFT calculation with GGA-PBE was carried out for a relaxed structure of Th4CoNiS2.

abc: 6.759 4.113 7.235
angles: 90.00 106.11 90.00
Element x y z (fractional)
Th  0.240  0.000  0.271
Th  0.250  0.500  0.727
Th  0.750  0.500  0.273
Th  0.760  0.000  0.729
Co  0.000  0.000  0.500
Ni  0.500  0.500  0.500
S  0.000  0.500  0.000
S  0.500  0.000  0.000

Results
* calculated total energy: -7.365 eV/atom
* crystal system: monoclinic
* formation energy (no corrections): -1.01 eV/atom
* space group: No. 10